# YAl2V (PBE, optimized geometry)
data_YAl2V
_space_group_name_H-M_alt 'I -4 2 d'
_space_group_IT_number 122
_space_group_name_Hall 'I -4 2bw'
_cell_length_a 4.248
_cell_length_b 4.248
_cell_length_c 19.667
_cell_angle_alpha 90.00
_cell_angle_beta 90.00
_cell_angle_gamma 90.00
loop_
_atom_site_label
_atom_site_fract_x
_atom_site_fract_y
_atom_site_fract_z
Y1 0.000 0.000 0.000
Al1 0.191 0.250 0.625
V1 0.000 0.000 0.500
# M_tot   0.66 μB per atom
# Energy above the lowest structure with this stoichiometry   536 meV/atom


# Mn2NbPdN (PBE, optimized geometry)
data_Mn2NbPdN
_space_group_name_H-M_alt 'P 4/m m m'
_space_group_IT_number 123
_space_group_name_Hall '-P 4 2'
_cell_length_a 3.958
_cell_length_b 3.958
_cell_length_c 4.204
_cell_angle_alpha 90.00
_cell_angle_beta 90.00
_cell_angle_gamma 90.00
loop_
_atom_site_label
_atom_site_fract_x
_atom_site_fract_y
_atom_site_fract_z
Mn1 0.000 0.500 0.000
Nb1 0.000 0.000 0.500
Pd1 0.500 0.500 0.500
N1 0.000 0.000 0.000
# M_tot   1.03 μB per atom
# Energy above the lowest structure with this stoichiometry   0 meV/atom


# MnFe2Ru2 (PBE, optimized geometry)
data_MnFe2Ru2
_space_group_name_H-M_alt 'P 4/m b m'
_space_group_IT_number 127
_space_group_name_Hall '-P 4 2ab'
_cell_length_a 6.857
_cell_length_b 6.857
_cell_length_c 2.644
_cell_angle_alpha 90.00
_cell_angle_beta 90.00
_cell_angle_gamma 90.00
loop_
_atom_site_label
_atom_site_fract_x
_atom_site_fract_y
_atom_site_fract_z
Mn1 0.000 0.000 0.000
Fe1 0.120 0.380 0.000
Ru1 0.176 0.676 0.500
# M_tot   0.00 μB per atom
# Energy above the lowest structure with this stoichiometry   0 meV/atom


# Zr2Zn3Hg (PBE, optimized geometry)
data_Zr2Zn3Hg
_space_group_name_H-M_alt 'I m m 2'
_space_group_IT_number 44
_space_group_name_Hall 'I 2 -2'
_cell_length_a 3.473
_cell_length_b 4.135
_cell_length_c 16.447
_cell_angle_alpha 90.00
_cell_angle_beta 90.00
_cell_angle_gamma 90.00
loop_
_atom_site_label
_atom_site_fract_x
_atom_site_fract_y
_atom_site_fract_z
Zr1 0.000 0.000 0.000
Zr2 0.000 0.500 0.211
Zn1 0.000 0.000 0.565
Zn2 0.000 0.500 0.641
Zn3 0.000 0.500 0.788
Hg1 0.000 0.000 0.404
# M_tot   0.00 μB per atom
# Energy above the lowest structure with this stoichiometry   151 meV/atom


# SrZnCd (PBE, optimized geometry)
data_SrZnCd
_space_group_name_H-M_alt 'P -6 m 2'
_space_group_IT_number 187
_space_group_name_Hall 'P -6 2'
_cell_length_a 4.8366
_cell_length_b 4.8366
_cell_length_c 4.1464
_cell_angle_alpha 90.00
_cell_angle_beta 90.00
_cell_angle_gamma 120.00
loop_
_atom_site_label
_atom_site_fract_x
_atom_site_fract_y
_atom_site_fract_z
Sr1 0.0000 0.0000 0.0000
Zn1 0.6667 0.3333 0.5000
Cd1 0.3333 0.6667 0.5000
# M_tot   0.00 μB per atom
# Raw total energy   -1.567 eV per atom


# Tc2BSO (PBE, optimized geometry)
data_Tc2BSO
_space_group_name_H-M_alt 'P 4/m m m'
_space_group_IT_number 123
_space_group_name_Hall '-P 4 2'
_cell_length_a 4.389
_cell_length_b 4.389
_cell_length_c 3.466
_cell_angle_alpha 90.00
_cell_angle_beta 90.00
_cell_angle_gamma 90.00
loop_
_atom_site_label
_atom_site_fract_x
_atom_site_fract_y
_atom_site_fract_z
Tc1 0.000 0.500 0.000
B1 0.000 0.000 0.500
S1 0.000 0.000 0.000
O1 0.500 0.500 0.500
# M_tot   0.00 μB per atom
# Raw total energy   -6.003 eV per atom


# Ba2LiHg2 (PBE, optimized geometry)
data_Ba2LiHg2
_space_group_name_H-M_alt 'P 4/m b m'
_space_group_IT_number 127
_space_group_name_Hall '-P 4 2ab'
_cell_length_a 9.731
_cell_length_b 9.731
_cell_length_c 4.079
_cell_angle_alpha 90.00
_cell_angle_beta 90.00
_cell_angle_gamma 90.00
loop_
_atom_site_label
_atom_site_fract_x
_atom_site_fract_y
_atom_site_fract_z
Ba1 0.152 0.348 0.000
Li1 0.000 0.000 0.000
Hg1 0.141 0.641 0.500
# M_tot   0.00 μB per atom
# Energy above the lowest structure with this stoichiometry   171 meV/atom


# TaTeS4Cl (PBE, optimized geometry)
data_TaTeS4Cl
_space_group_name_H-M_alt 'C 1 2/m 1'
_space_group_IT_number 12
_space_group_name_Hall '-C 2y'
_cell_length_a 17.512
_cell_length_b 8.044
_cell_length_c 7.388
_cell_angle_alpha 90.00
_cell_angle_beta 114.49
_cell_angle_gamma 90.00
loop_
_atom_site_label
_atom_site_fract_x
_atom_site_fract_y
_atom_site_fract_z
Ta1 0.235 0.000 0.083
Te1 0.176 0.500 0.377
S1 0.126 0.500 0.647
S2 0.187 0.000 0.368
S3 0.226 0.314 0.128
Cl1 0.088 0.000 0.900
# M_tot   0.00 μB per atom
# Raw total energy   -5.218 eV per atom


Q: The highest M_tot belongs to which entry?
A: Mn2NbPdN


Q: Number 8 is which compound?
A: TaTeS4Cl